DFT (GGA-PBE) results for a relaxed CoHPb2 crystal.

Unit cell a=5.210 b=5.210 c=7.361 alpha=69.28 beta=69.28 gamma=90.00
Last column: magnetic moment on the atom in μB.
Atoms (fractional coordinates):
Pb (0.585, 0.125, 0.250)  -0.02
Pb (0.165, 0.625, 0.250)  -0.02
Pb (0.375, 0.415, 0.750)  -0.02
Pb (0.875, 0.835, 0.750)  -0.02
H (0.500, 0.500, 0.000)  0.01
H (0.250, 0.750, 0.500)  0.01
Co (0.000, 0.000, 0.000)  0.81
Co (0.750, 0.250, 0.500)  0.81

VASP energy	-30.11	eV for the cell shown
calculated volume	173	Å³/cell
space-group type	I-42d, No. 122